(1)
A relaxed CeCd9Cu3 crystal, computed with PBE-GGA.

Output
Symmetry: No. 12
E_form, meV per atom: -74.4

Lattice parameters (Å, degrees): 7.4874 7.4874 7.4592 97.23 97.23 137.76
Atoms (fractional coordinates):
Ce1 0.0000 0.0000 0.0000
Cd1 0.0000 0.0000 0.5000
Cd2 0.0104 0.6559 0.6645
Cd3 0.2958 0.5160 0.7901
Cd4 0.3441 0.9896 0.3355
Cd5 0.4840 0.7042 0.2099
Cd6 0.5160 0.2958 0.7901
Cd7 0.6559 0.0104 0.6645
Cd8 0.7042 0.4840 0.2099
Cd9 0.9896 0.3441 0.3355
Cu1 0.0000 0.5000 0.0000
Cu2 0.5000 0.0000 0.0000
Cu3 0.5000 0.5000 0.5000

(2)
A relaxed Ce2Cd2Cu15 crystal, computed with PBE-GGA.

Output
Symmetry: No. 166
E_form, meV per atom: -44.7

Lattice parameters (Å, degrees): 6.6405 6.6405 6.6405 82.87 82.87 82.87
Atoms (fractional coordinates):
Ce1 0.1445 0.1445 0.1445
Ce2 0.8555 0.8555 0.8555
Cd1 0.3940 0.3940 0.3940
Cd2 0.6060 0.6060 0.6060
Cu1 0.0000 0.5000 0.5000
Cu2 0.1510 0.1510 0.6582
Cu3 0.1510 0.6582 0.1510
Cu4 0.1968 0.5000 0.8032
Cu5 0.1968 0.8032 0.5000
Cu6 0.3418 0.8490 0.8490
Cu7 0.5000 0.0000 0.5000
Cu8 0.5000 0.1968 0.8032
Cu9 0.5000 0.5000 0.0000
Cu10 0.5000 0.8032 0.1968
Cu11 0.6582 0.1510 0.1510
Cu12 0.8032 0.1968 0.5000
Cu13 0.8032 0.5000 0.1968
Cu14 0.8490 0.3418 0.8490
Cu15 0.8490 0.8490 0.3418

(3)
A relaxed CeCd7Cu5 crystal, computed with PBE-GGA.

Output
Symmetry: No. 44
E_form, meV per atom: -48.3

Lattice parameters (Å, degrees): 7.2684 7.2684 7.2684 137.41 97.76 97.39
Atoms (fractional coordinates):
Ce1 0.0000 0.0000 0.0000
Cd1 0.2218 0.5145 0.7073
Cd2 0.2354 0.7354 0.5000
Cd3 0.3509 0.3509 0.0000
Cd4 0.3682 0.0229 0.3453
Cd5 0.6675 0.6675 0.0000
Cd6 0.6777 0.0229 0.6547
Cd7 0.8072 0.5145 0.2927
Cu1 0.0075 0.0187 0.4874
Cu2 0.0075 0.5200 0.9888
Cu3 0.5312 0.0187 0.0112
Cu4 0.5312 0.5200 0.5126
Cu5 0.7975 0.2975 0.5000

(4)
A relaxed CeErCdCu crystal, computed with PBE-GGA.

Output
Symmetry: No. 216
E_form, meV per atom: -105.0

Lattice parameters (Å, degrees): 5.1681 5.1681 5.1681 60.00 60.00 60.00
Atoms (fractional coordinates):
Ce1 0.0000 0.0000 0.0000
Er1 0.5000 0.5000 0.5000
Cd1 0.2500 0.2500 0.2500
Cu1 0.7500 0.7500 0.7500

DOS(E_F)? In order: 0.811; 1.052; 1.066; 2.268 states/eV per atom.